Model 1:
## YMg2Tl (PBE)

Data for a relaxed YMg2Tl crystal.

The structure belongs to space group P4mm (No. 99); the cell edges are 3.6465, 3.6465 and 7.6104 Å and the angles 90.00°, 90.00° and 90.00°. Symmetry generates all atoms from Y at (0.0000, 0.0000, 0.0000), Mg at (0.0000, 0.0000, 0.4989), Mg at (0.5000, 0.5000, 0.2771) and Tl at (0.5000, 0.5000, 0.7236).

As for the size of the total moment: 0.104 μB per atom. The density of states at the Fermi level is 1.9 states/eV/cell. As for the crystal system: tetragonal.


Model 2:
## YMg2Tl (PBE)

Data for a relaxed YMg2Tl crystal.

The structure belongs to space group I-42d (No. 122); the cell edges are 8.4215, 8.4215 and 6.2621 Å and the angles 90.00°, 90.00° and 90.00°. Symmetry generates all atoms from Y at (0.0000, 0.0000, 0.0000), Mg at (0.2159, 0.2500, 0.6250) and Tl at (0.0000, 0.0000, 0.5000).

As for the size of the total moment: 0.000 μB per atom. The density of states at the Fermi level is 9.9 states/eV/cell. As for the crystal system: tetragonal.


Model 3:
## YMg2Tl (PBE)

Data for a relaxed YMg2Tl crystal.

The structure belongs to space group Cmmm (No. 65); the cell edges are 5.0681, 5.0760 and 8.0786 Å and the angles 90.00°, 90.00° and 90.00°. Symmetry generates all atoms from Y at (0.0000, 0.0000, 0.0000), Mg at (0.0000, 0.5000, 0.2745) and Tl at (0.0000, 0.0000, 0.5000).

As for the size of the total moment: 0.088 μB per atom. The density of states at the Fermi level is 6.5 states/eV/cell. As for the crystal system: orthorhombic.


Model 4:
## YMg2Tl (PBE)

Data for a relaxed YMg2Tl crystal.

The structure belongs to space group Cm (No. 8); the cell edges are 9.0263, 5.2017 and 5.2028 Å and the angles 90.00°, 125.03° and 90.00°. Symmetry generates all atoms from Y at (0.0000, 0.0000, 0.0000), Mg at (0.0000, 0.5000, 0.4993), Mg at (0.2500, 0.5000, 0.2506) and Tl at (0.2500, 0.0000, 0.7492).

As for the size of the total moment: 0.000 μB per atom. The density of states at the Fermi level is 2.2 states/eV/cell. As for the crystal system: monoclinic.


What should be chosen as the least stable of them? Choose model 2.


Model 1:
## YMg2Tl2 (PBE)

Data for a relaxed YMg2Tl2 crystal.

The structure belongs to space group P6_3/mmc (No. 194); the cell edges are 5.0338, 5.0338 and 13.0922 Å and the angles 90.00°, 90.00° and 120.00°. Symmetry generates all atoms from Y at (0.0000, 0.0000, 0.2500), Mg at (0.0000, 0.0000, 0.0000), Mg at (0.3333, 0.6667, 0.2500) and Tl at (0.3333, 0.6667, 0.6191).

As for the size of the total moment: 0.000 μB per atom. The density of states at the Fermi level is 5.8 states/eV/cell. As for the crystal system: hexagonal.


Model 2:
## YMg2Tl2 (PBE)

Data for a relaxed YMg2Tl2 crystal.

The structure belongs to space group P4/mbm (No. 127); the cell edges are 8.5526, 8.5526 and 3.5364 Å and the angles 90.00°, 90.00° and 90.00°. Symmetry generates all atoms from Y at (0.0000, 0.0000, 0.0000), Mg at (0.1550, 0.3450, 0.5000) and Tl at (0.1450, 0.6450, 0.0000).

As for the size of the total moment: 0.051 μB per atom. The density of states at the Fermi level is 7.1 states/eV/cell. As for the crystal system: tetragonal.


Model 3:
## YMg2Tl2 (PBE)

Data for a relaxed YMg2Tl2 crystal.

The structure belongs to space group P4/mbm (No. 127); the cell edges are 8.5710, 8.5710 and 3.4135 Å and the angles 90.00°, 90.00° and 90.00°. Symmetry generates all atoms from Y at (0.0000, 0.0000, 0.0000), Mg at (0.1226, 0.3774, 0.0000) and Tl at (0.1768, 0.6768, 0.5000).

As for the size of the total moment: 0.088 μB per atom. The density of states at the Fermi level is 4.8 states/eV/cell. As for the crystal system: tetragonal.


What should be chosen as the least stable of them? Choose model 1.


Model 1:
## Y2Mg2Tl (PBE)

Data for a relaxed Y2Mg2Tl crystal.

The structure belongs to space group P-1 (No. 2); the cell edges are 5.1569, 5.1626 and 6.5674 Å and the angles 67.22°, 67.05° and 60.24°. Symmetry generates all atoms from Y at (0.1018, 0.1016, 0.1946), Mg at (0.3180, 0.3181, 0.5460) and Tl at (0.5000, 0.5000, 0.0000).

As for the size of the total moment: 0.000 μB per atom. The density of states at the Fermi level is 6.3 states/eV/cell. As for the crystal system: triclinic.


Model 2:
## Y2Mg2Tl (PBE)

Data for a relaxed Y2Mg2Tl crystal.

The structure belongs to space group P4/mbm (No. 127); the cell edges are 7.4431, 7.4431 and 4.8825 Å and the angles 90.00°, 90.00° and 90.00°. Symmetry generates all atoms from Y at (0.1692, 0.3308, 0.0000), Mg at (0.1336, 0.6336, 0.5000) and Tl at (0.0000, 0.0000, 0.5000).

As for the size of the total moment: 0.105 μB per atom. The density of states at the Fermi level is 11.1 states/eV/cell. As for the crystal system: tetragonal.


What should be chosen as the least stable of them? Choose model 2.


Model 1:
## Y8MgTl2 (PBE)

Data for a relaxed Y8MgTl2 crystal.

The structure belongs to space group C2/m (No. 12); the cell edges are 8.9510, 14.9462 and 5.6140 Å and the angles 90.00°, 113.84° and 90.00°. Symmetry generates all atoms from Y at (0.0000, 0.2183, 0.0000), Y at (0.1023, 0.5000, 0.8033), Y at (0.2119, 0.1155, 0.6126), Mg at (0.0000, 0.0000, 0.0000) and Tl at (0.0000, 0.3046, 0.5000).

As for the size of the total moment: 0.018 μB per atom. The density of states at the Fermi level is 30.0 states/eV/cell. As for the crystal system: monoclinic.


Model 2:
## Y8MgTl2 (PBE)

Data for a relaxed Y8MgTl2 crystal.

The structure belongs to space group C2/m (No. 12); the cell edges are 16.3528, 5.4206 and 8.6292 Å and the angles 90.00°, 121.10° and 90.00°. Symmetry generates all atoms from Y at (0.0639, 0.0000, 0.2204), Y at (0.0923, 0.5000, 0.9503), Y at (0.1356, 0.0000, 0.6815), Y at (0.1800, 0.5000, 0.4431), Mg at (0.0000, 0.5000, 0.5000) and Tl at (0.2275, 0.0000, 0.1291).

As for the size of the total moment: 0.000 μB per atom. The density of states at the Fermi level is 24.1 states/eV/cell. As for the crystal system: monoclinic.


What should be chosen as the least stable of them? Choose model 1.